No. 1
The following is a DFT calculation (meta-GGA SCAN) of a crystal of CsAu relaxed with PBEsol.

E_form in eV per atom: -0.436
Total moment in μB/f.u.: 0.00
Energy in eV/atom: -53.92
Volume in Å³/atom: 35.9

Cell lengths 4.1569, 4.1569, 4.1569 Å; angles 90.00, 90.00, 90.00 degrees
Closest atoms and distances in Å follow each position.
Fractional positions:
Cs  0.0000  0.0000  0.0000  8 Au 3.60
Au  0.5000  0.5000  0.5000  8 Cs 3.60

No. 2
The following is a DFT calculation (meta-GGA SCAN) of a crystal of Sc2TaHg2 relaxed with PBEsol.

E_form in eV per atom: 0.357
Total moment in μB/f.u.: 0.00
Energy in eV/atom: -45.92
Volume in Å³/atom: 20.9

Cell lengths 4.0571, 4.0571, 6.9791 Å; angles 106.90, 106.90, 90.00 degrees
Closest atoms and distances in Å follow each position.
Fractional positions:
Sc  0.2500  0.7500  0.5000  4 Hg 2.77, 4 Sc 2.87
Sc  0.7500  0.2500  0.5000  4 Hg 2.77, 4 Sc 2.87
Hg  0.3986  0.3986  0.7971  1 Hg 2.58, 4 Sc 2.77
Hg  0.6014  0.6014  0.2029  1 Hg 2.58, 4 Sc 2.77
Ta  0.0000  0.0000  0.0000  8 Hg 3.15

No. 3
The following is a DFT calculation (meta-GGA SCAN) of a crystal of BaZr3H relaxed with PBEsol.

Total moment in μB/f.u.: 2.96
Energy in eV/atom: -24.54
Volume in Å³/atom: 29.2

Cell lengths 5.2632, 5.2632, 5.2632 Å; angles 90.00, 90.00, 90.00 degrees
Closest atoms and distances in Å follow each position.
Fractional positions:
H  0.5000  0.5000  0.5000  12 Zr 3.72
Ba  0.0000  0.0000  0.0000  6 Zr 2.63
Zr  0.0000  0.5000  0.0000  2 Ba 2.63
Zr  0.0000  0.0000  0.5000  2 Ba 2.63
Zr  0.5000  0.0000  0.0000  2 Ba 2.63

No. 4
The following is a DFT calculation (meta-GGA SCAN) of a crystal of CdHg2Pb relaxed with PBEsol.

E_form in eV per atom: 0.054
Total moment in μB/f.u.: 0.00
Energy in eV/atom: -60.58
Volume in Å³/atom: 24.5

Cell lengths 3.3626, 5.3357, 5.4716 Å; angles 90.00, 90.00, 90.00 degrees
Closest atoms and distances in Å follow each position.
Fractional positions:
Pb  0.5000  0.5000  0.0000  4 Hg 3.15, 4 Cd 3.21, 2 Pb 3.36
Hg  0.0000  0.0000  0.0000  4 Pb 3.15, 6 Hg 3.21-3.36
Hg  0.5000  0.0000  0.5000  4 Cd 3.15, 6 Hg 3.21-3.36
Cd  0.0000  0.5000  0.5000  4 Hg 3.15, 4 Pb 3.21, 2 Cd 3.36

No. 5
The following is a DFT calculation (meta-GGA SCAN) of a crystal of RbIn2Bi2 relaxed with PBEsol.

E_form in eV per atom: -0.279
Total moment in μB/f.u.: 0.00
Energy in eV/atom: -49.21
Volume in Å³/atom: 35.8

Cell lengths 5.0738, 5.0738, 7.8269 Å; angles 108.93, 108.93, 90.04 degrees
Closest atoms and distances in Å follow each position.
Fractional positions:
Bi  0.3757  0.3757  0.7512  4 In 3.08
Bi  0.6243  0.6243  0.2487  4 In 3.08
Rb  0.0000  0.0000  0.0000  8 Bi 3.98, 8 In 4.30-4.31
In  0.2502  0.7498  0.5000  4 Bi 3.08
In  0.7498  0.2502  0.5000  4 Bi 3.08

No. 6
The following is a DFT calculation (meta-GGA SCAN) of a crystal of KCr2Co relaxed with PBEsol.

E_form in eV per atom: 1.380
Total moment in μB/f.u.: 0.99
Energy in eV/atom: -14.22
Volume in Å³/atom: 15.2

Cell lengths 2.4259, 4.9709, 5.7497 Å; angles 115.61, 102.18, 90.00 degrees
Closest atoms and distances in Å follow each position.
Fractional positions:
Co  0.0000  0.5000  0.0000  4 Cr 2.38, 2 Co 2.43
Cr  0.7035  0.7035  0.4071  2 Co 2.38, 2 Cr 2.43
Cr  0.2965  0.2965  0.5929  2 Co 2.38, 2 Cr 2.43
K  0.5000  0.0000  0.0000  2 K 2.43

No. 7
The following is a DFT calculation (meta-GGA SCAN) of a crystal of ScCu2GeH relaxed with PBEsol.

Total moment in μB/f.u.: 0.00
Energy in eV/atom: -13.20
Volume in Å³/atom: 14.5

Cell lengths 3.3896, 4.6274, 4.6274 Å; angles 90.00, 90.00, 90.00 degrees
Closest atoms and distances in Å follow each position.
Fractional positions:
Sc  0.5000  0.5000  0.5000  8 Cu 2.87
H  0.5000  0.0000  0.0000  2 Ge 1.69
Ge  0.0000  0.0000  0.0000  2 H 1.69
Cu  0.0000  0.0000  0.5000  2 Ge 2.31
Cu  0.0000  0.5000  0.0000  2 Ge 2.31

No. 8
The following is a DFT calculation (meta-GGA SCAN) of a crystal of CaAg2Cl relaxed with PBEsol.

Total moment in μB/f.u.: 0.00
Energy in eV/atom: -20.86
Volume in Å³/atom: 22.8

Cell lengths 3.6577, 3.6577, 6.8207 Å; angles 90.00, 90.00, 90.00 degrees
Closest atoms and distances in Å follow each position.
Fractional positions:
Ca  0.0000  0.0000  0.5172  4 Cl 2.82, 1 Ag 2.87
Ag  0.0000  0.0000  0.0969  4 Ag 2.69, 1 Ca 2.87
Ag  0.5000  0.5000  0.2048  4 Ag 2.69
Cl  0.5000  0.5000  0.6812  4 Ca 2.82

Repeat the second record exactly.
The following is a DFT calculation (meta-GGA SCAN) of a crystal of Sc2TaHg2 relaxed with PBEsol.

E_form in eV per atom: 0.357
Total moment in μB/f.u.: 0.00
Energy in eV/atom: -45.92
Volume in Å³/atom: 20.9

Cell lengths 4.0571, 4.0571, 6.9791 Å; angles 106.90, 106.90, 90.00 degrees
Closest atoms and distances in Å follow each position.
Fractional positions:
Sc  0.2500  0.7500  0.5000  4 Hg 2.77, 4 Sc 2.87
Sc  0.7500  0.2500  0.5000  4 Hg 2.77, 4 Sc 2.87
Hg  0.3986  0.3986  0.7971  1 Hg 2.58, 4 Sc 2.77
Hg  0.6014  0.6014  0.2029  1 Hg 2.58, 4 Sc 2.77
Ta  0.0000  0.0000  0.0000  8 Hg 3.15

Number 1 is which compound?
CsAu

What did the first record say?
The following is a DFT calculation (meta-GGA SCAN) of a crystal of CsAu relaxed with PBEsol.

E_form in eV per atom: -0.436
Total moment in μB/f.u.: 0.00
Energy in eV/atom: -53.92
Volume in Å³/atom: 35.9

Cell lengths 4.1569, 4.1569, 4.1569 Å; angles 90.00, 90.00, 90.00 degrees
Closest atoms and distances in Å follow each position.
Fractional positions:
Cs  0.0000  0.0000  0.0000  8 Au 3.60
Au  0.5000  0.5000  0.5000  8 Cs 3.60

Among the records above, which one has the highest total moment?
BaZr3H